(1)
This record from the Alexandria database describes a relaxed structure of SrCu2Ag. The functional is PBE-GGA.

Unit cell a=3.5357 b=3.5357 c=6.5395 alpha=90.00 beta=90.00 gamma=90.00
Space group P4/mmm (No. 123)
Asymmetric unit:
1 Sr 0.0000 0.0000 0.0000 [1 per cell]
2 Cu 0.5000 0.5000 0.3131 [2 per cell]
3 Ag 0.0000 0.0000 0.5000 [1 per cell]

## Properties
raw total energy: -12.328 eV/cell
total moment: 0.0 μB/f.u.
D(E_F): 1.38 states/eV/cell
energy of formation from the pure elements: 0.099 eV per atom

(2)
This record from the Alexandria database describes a relaxed structure of SrCu2Ag2. The functional is PBE-GGA.

Unit cell a=4.3349 b=4.3349 c=11.0322 alpha=90.00 beta=90.00 gamma=90.00
Space group I4/mmm (No. 139)
Asymmetric unit:
1 Sr 0.0000 0.0000 0.0000 [2 per cell]
2 Cu 0.0000 0.0000 0.3915 [4 per cell]
3 Ag 0.0000 0.5000 0.2500 [4 per cell]

## Properties
raw total energy: -31.828 eV/cell
total moment: 0.0 μB/f.u.
D(E_F): 3.73 states/eV/cell
energy of formation from the pure elements: -0.067 eV per atom

(3)
This record from the Alexandria database describes a relaxed structure of Sr2Cu2Ag. The functional is PBE-GGA.

Unit cell a=5.9364 b=5.9364 c=7.7046 alpha=90.00 beta=90.00 gamma=90.00
Space group I4/mmm (No. 139)
Asymmetric unit:
1 Sr 0.0000 0.5000 0.2500 [4 per cell]
2 Cu 0.0000 0.0000 0.1528 [4 per cell]
3 Ag 0.0000 0.0000 0.5000 [2 per cell]

## Properties
raw total energy: -28.827 eV/cell
total moment: 0.0 μB/f.u.
D(E_F): 4.89 states/eV/cell
energy of formation from the pure elements: -0.001 eV per atom

(4)
This record from the Alexandria database describes a relaxed structure of SrCu2Ag. The functional is PBE-GGA.

Unit cell a=4.4751 b=4.4751 c=4.1812 alpha=90.00 beta=90.00 gamma=90.00
Space group P4/mmm (No. 123)
Asymmetric unit:
1 Sr 0.0000 0.0000 0.0000 [1 per cell]
2 Cu 0.0000 0.5000 0.5000 [2 per cell]
3 Ag 0.5000 0.5000 0.0000 [1 per cell]

## Properties
raw total energy: -11.776 eV/cell
total moment: 0.0 μB/f.u.
D(E_F): 1.91 states/eV/cell
energy of formation from the pure elements: 0.237 eV per atom